1.
# ZrRuN | Alexandria via LeMat-Bulk | GGA-PBE | optimized geometry
data_ZrRuN
_chemical_formula_sum 'Zr2 Ru2 N2'
_space_group_name_H-M_alt 'P 1'
_space_group_IT_number 1
_cell_length_a 5.128
_cell_length_b 5.128
_cell_length_c 3.174
_cell_angle_alpha 90.00
_cell_angle_beta 90.00
_cell_angle_gamma 94.75
loop_
_space_group_symop_operation_xyz
'x,y,z'
loop_
_atom_site_label
_atom_site_type_symbol
_atom_site_fract_x
_atom_site_fract_y
_atom_site_fract_z
_atom_site_occupancy
Zr1 Zr 0.212 0.788 0.000 1
Zr2 Zr 0.788 0.212 0.000 1
Ru1 Ru 0.307 0.307 0.500 1
Ru2 Ru 0.693 0.693 0.500 1
N1 N 0.000 0.000 0.500 1
N2 N 0.500 0.500 0.000 1
# Excess energy over the best structure of this formula in the dataset ... 4.34 kcal/mol of atoms
# SG ... No. 65
# Energy ... -56.041 eV/cell

2.
# Zr3RuN | Alexandria via LeMat-Bulk | GGA-PBE | optimized geometry
data_Zr3RuN
_chemical_formula_sum 'Zr3 Ru1 N1'
_space_group_name_H-M_alt 'P 1'
_space_group_IT_number 1
_cell_length_a 4.436
_cell_length_b 4.436
_cell_length_c 4.436
_cell_angle_alpha 90.00
_cell_angle_beta 90.00
_cell_angle_gamma 90.00
loop_
_space_group_symop_operation_xyz
'x,y,z'
loop_
_atom_site_label
_atom_site_type_symbol
_atom_site_fract_x
_atom_site_fract_y
_atom_site_fract_z
_atom_site_occupancy
Zr1 Zr 0.000 0.000 0.500 1
Zr2 Zr 0.000 0.500 0.000 1
Zr3 Zr 0.500 0.000 0.000 1
Ru1 Ru 0.500 0.500 0.500 1
N1 N 0.000 0.000 0.000 1
# SG ... No. 221
# Energy ... -46.832 eV/cell

3.
# ZrRuN2 | Alexandria via LeMat-Bulk | GGA-PBE | optimized geometry
data_ZrRuN2
_chemical_formula_sum 'Zr2 Ru2 N4'
_space_group_name_H-M_alt 'P 1'
_space_group_IT_number 1
_cell_length_a 6.126
_cell_length_b 6.126
_cell_length_c 6.126
_cell_angle_alpha 136.34
_cell_angle_beta 136.34
_cell_angle_gamma 63.46
loop_
_space_group_symop_operation_xyz
'x,y,z'
loop_
_atom_site_label
_atom_site_type_symbol
_atom_site_fract_x
_atom_site_fract_y
_atom_site_fract_z
_atom_site_occupancy
Zr1 Zr 0.000 0.000 0.000 1
Zr2 Zr 0.750 0.250 0.500 1
Ru1 Ru 0.250 0.750 0.500 1
Ru2 Ru 0.500 0.500 0.000 1
N1 N 0.151 0.625 0.026 1
N2 N 0.375 0.401 0.526 1
N3 N 0.599 0.125 0.974 1
N4 N 0.875 0.849 0.474 1
# Excess energy over the best structure of this formula in the dataset ... 0.00 kcal/mol of atoms
# SG ... No. 122
# Energy ... -72.721 eV/cell

4.
# Zr3RuN | Alexandria via LeMat-Bulk | GGA-PBE | optimized geometry
data_Zr3RuN
_chemical_formula_sum 'Zr3 Ru1 N1'
_space_group_name_H-M_alt 'P 1'
_space_group_IT_number 1
_cell_length_a 4.968
_cell_length_b 4.968
_cell_length_c 4.968
_cell_angle_alpha 90.00
_cell_angle_beta 90.00
_cell_angle_gamma 90.00
loop_
_space_group_symop_operation_xyz
'x,y,z'
loop_
_atom_site_label
_atom_site_type_symbol
_atom_site_fract_x
_atom_site_fract_y
_atom_site_fract_z
_atom_site_occupancy
Zr1 Zr 0.000 0.000 0.500 1
Zr2 Zr 0.000 0.500 0.000 1
Zr3 Zr 0.500 0.000 0.000 1
Ru1 Ru 0.000 0.000 0.000 1
N1 N 0.500 0.500 0.500 1
# SG ... No. 221
# Energy ... -37.087 eV/cell

5.
# ZrRuN3 | Alexandria via LeMat-Bulk | GGA-PBE | optimized geometry
data_ZrRuN3
_chemical_formula_sum 'Zr1 Ru1 N3'
_space_group_name_H-M_alt 'P 1'
_space_group_IT_number 1
_cell_length_a 4.170
_cell_length_b 4.170
_cell_length_c 4.170
_cell_angle_alpha 90.00
_cell_angle_beta 90.00
_cell_angle_gamma 90.00
loop_
_space_group_symop_operation_xyz
'x,y,z'
loop_
_atom_site_label
_atom_site_type_symbol
_atom_site_fract_x
_atom_site_fract_y
_atom_site_fract_z
_atom_site_occupancy
Zr1 Zr 0.000 0.000 0.000 1
Ru1 Ru 0.500 0.500 0.500 1
N1 N 0.000 0.000 0.500 1
N2 N 0.000 0.500 0.000 1
N3 N 0.500 0.000 0.000 1
# SG ... No. 221
# Energy ... -35.979 eV/cell

6.
# Zr4Ru2N | Alexandria via LeMat-Bulk | GGA-PBE | optimized geometry
data_Zr4Ru2N
_chemical_formula_sum 'Zr16 Ru8 N4'
_space_group_name_H-M_alt 'P 1'
_space_group_IT_number 1
_cell_length_a 8.793
_cell_length_b 8.793
_cell_length_c 8.793
_cell_angle_alpha 60.00
_cell_angle_beta 60.00
_cell_angle_gamma 60.00
loop_
_space_group_symop_operation_xyz
'x,y,z'
loop_
_atom_site_label
_atom_site_type_symbol
_atom_site_fract_x
_atom_site_fract_y
_atom_site_fract_z
_atom_site_occupancy
Zr1 Zr 0.000 0.000 0.000 1
Zr2 Zr 0.000 0.000 0.500 1
Zr3 Zr 0.000 0.500 0.000 1
Zr4 Zr 0.191 0.191 0.559 1
Zr5 Zr 0.191 0.559 0.191 1
Zr6 Zr 0.191 0.559 0.559 1
Zr7 Zr 0.441 0.441 0.809 1
Zr8 Zr 0.441 0.809 0.441 1
Zr9 Zr 0.441 0.809 0.809 1
Zr10 Zr 0.500 0.000 0.000 1
Zr11 Zr 0.559 0.191 0.191 1
Zr12 Zr 0.559 0.191 0.559 1
Zr13 Zr 0.559 0.559 0.191 1
Zr14 Zr 0.809 0.441 0.441 1
Zr15 Zr 0.809 0.441 0.809 1
Zr16 Zr 0.809 0.809 0.441 1
Ru1 Ru 0.136 0.788 0.788 1
Ru2 Ru 0.212 0.212 0.212 1
Ru3 Ru 0.212 0.212 0.864 1
Ru4 Ru 0.212 0.864 0.212 1
Ru5 Ru 0.788 0.136 0.788 1
Ru6 Ru 0.788 0.788 0.136 1
Ru7 Ru 0.788 0.788 0.788 1
Ru8 Ru 0.864 0.212 0.212 1
N1 N 0.000 0.500 0.500 1
N2 N 0.500 0.000 0.500 1
N3 N 0.500 0.500 0.000 1
N4 N 0.500 0.500 0.500 1
# SG ... No. 227
# Energy ... -267.601 eV/cell

7.
# ZrRuN | Alexandria via LeMat-Bulk | GGA-PBE | optimized geometry
data_ZrRuN
_chemical_formula_sum 'Zr2 Ru2 N2'
_space_group_name_H-M_alt 'P 1'
_space_group_IT_number 1
_cell_length_a 3.173
_cell_length_b 4.473
_cell_length_c 5.746
_cell_angle_alpha 90.00
_cell_angle_beta 93.90
_cell_angle_gamma 90.00
loop_
_space_group_symop_operation_xyz
'x,y,z'
loop_
_atom_site_label
_atom_site_type_symbol
_atom_site_fract_x
_atom_site_fract_y
_atom_site_fract_z
_atom_site_occupancy
Zr1 Zr 0.236 0.250 0.339 1
Zr2 Zr 0.764 0.750 0.661 1
Ru1 Ru 0.282 0.250 0.861 1
Ru2 Ru 0.718 0.750 0.139 1
N1 N 0.237 0.750 0.368 1
N2 N 0.763 0.250 0.632 1
# Excess energy over the best structure of this formula in the dataset ... 1.80 kcal/mol of atoms
# SG ... No. 11
# Energy ... -56.702 eV/cell

8.
# Zr4RuN2 | Alexandria via LeMat-Bulk | GGA-PBE | optimized geometry
data_Zr4RuN2
_chemical_formula_sum 'Zr8 Ru2 N4'
_space_group_name_H-M_alt 'P 1'
_space_group_IT_number 1
_cell_length_a 5.858
_cell_length_b 5.858
_cell_length_c 11.888
_cell_angle_alpha 90.00
_cell_angle_beta 90.00
_cell_angle_gamma 147.18
loop_
_space_group_symop_operation_xyz
'x,y,z'
loop_
_atom_site_label
_atom_site_type_symbol
_atom_site_fract_x
_atom_site_fract_y
_atom_site_fract_z
_atom_site_occupancy
Zr1 Zr 0.000 0.000 0.000 1
Zr2 Zr 0.000 0.000 0.500 1
Zr3 Zr 0.268 0.732 0.608 1
Zr4 Zr 0.268 0.732 0.892 1
Zr5 Zr 0.427 0.573 0.250 1
Zr6 Zr 0.573 0.427 0.750 1
Zr7 Zr 0.732 0.268 0.108 1
Zr8 Zr 0.732 0.268 0.392 1
Ru1 Ru 0.108 0.892 0.250 1
Ru2 Ru 0.892 0.108 0.750 1
N1 N 0.367 0.633 0.059 1
N2 N 0.367 0.633 0.441 1
N3 N 0.633 0.367 0.559 1
N4 N 0.633 0.367 0.941 1
# SG ... No. 63
# Energy ... -136.226 eV/cell

9.
# ZrRuN | Alexandria via LeMat-Bulk | GGA-PBE | optimized geometry
data_ZrRuN
_chemical_formula_sum 'Zr1 Ru1 N1'
_space_group_name_H-M_alt 'P 1'
_space_group_IT_number 1
_cell_length_a 3.188
_cell_length_b 3.188
_cell_length_c 4.044
_cell_angle_alpha 90.00
_cell_angle_beta 90.00
_cell_angle_gamma 90.00
loop_
_space_group_symop_operation_xyz
'x,y,z'
loop_
_atom_site_label
_atom_site_type_symbol
_atom_site_fract_x
_atom_site_fract_y
_atom_site_fract_z
_atom_site_occupancy
Zr1 Zr 0.000 0.000 0.000 1
Ru1 Ru 0.500 0.500 0.500 1
N1 N 0.500 0.500 0.000 1
# Excess energy over the best structure of this formula in the dataset ... 0.09 kcal/mol of atoms
# SG ... No. 123
# Energy ... -28.573 eV/cell

10.
# Zr6RuN4 | Alexandria via LeMat-Bulk | GGA-PBE | optimized geometry
data_Zr6RuN4
_chemical_formula_sum 'Zr12 Ru2 N8'
_space_group_name_H-M_alt 'P 1'
_space_group_IT_number 1
_cell_length_a 5.812
_cell_length_b 5.812
_cell_length_c 17.375
_cell_angle_alpha 90.00
_cell_angle_beta 90.00
_cell_angle_gamma 147.08
loop_
_space_group_symop_operation_xyz
'x,y,z'
loop_
_atom_site_label
_atom_site_type_symbol
_atom_site_fract_x
_atom_site_fract_y
_atom_site_fract_z
_atom_site_occupancy
Zr1 Zr 0.000 0.000 0.000 1
Zr2 Zr 0.000 0.000 0.500 1
Zr3 Zr 0.154 0.846 0.750 1
Zr4 Zr 0.276 0.724 0.080 1
Zr5 Zr 0.276 0.724 0.420 1
Zr6 Zr 0.458 0.542 0.651 1
Zr7 Zr 0.458 0.542 0.849 1
Zr8 Zr 0.542 0.458 0.151 1
Zr9 Zr 0.542 0.458 0.349 1
Zr10 Zr 0.724 0.276 0.580 1
Zr11 Zr 0.724 0.276 0.920 1
Zr12 Zr 0.846 0.154 0.250 1
Ru1 Ru 0.163 0.837 0.250 1
Ru2 Ru 0.837 0.163 0.750 1
N1 N 0.094 0.906 0.620 1
N2 N 0.094 0.906 0.880 1
N3 N 0.361 0.639 0.538 1
N4 N 0.361 0.639 0.962 1
N5 N 0.639 0.361 0.038 1
N6 N 0.639 0.361 0.462 1
N7 N 0.906 0.094 0.120 1
N8 N 0.906 0.094 0.380 1
# SG ... No. 63
# Energy ... -217.312 eV/cell

11.
# Zr4RuN | Alexandria via LeMat-Bulk | GGA-PBE | optimized geometry
data_Zr4RuN
_chemical_formula_sum 'Zr8 Ru2 N2'
_space_group_name_H-M_alt 'P 1'
_space_group_IT_number 1
_cell_length_a 6.353
_cell_length_b 5.398
_cell_length_c 6.928
_cell_angle_alpha 90.00
_cell_angle_beta 90.00
_cell_angle_gamma 90.00
loop_
_space_group_symop_operation_xyz
'x,y,z'
loop_
_atom_site_label
_atom_site_type_symbol
_atom_site_fract_x
_atom_site_fract_y
_atom_site_fract_z
_atom_site_occupancy
Zr1 Zr 0.131 0.248 0.000 1
Zr2 Zr 0.131 0.252 0.500 1
Zr3 Zr 0.293 0.734 0.237 1
Zr4 Zr 0.293 0.766 0.737 1
Zr5 Zr 0.707 0.234 0.737 1
Zr6 Zr 0.707 0.266 0.237 1
Zr7 Zr 0.869 0.748 0.500 1
Zr8 Zr 0.869 0.752 0.000 1
Ru1 Ru 0.500 0.000 0.476 1
Ru2 Ru 0.500 0.500 0.976 1
N1 N 0.000 0.000 0.747 1
N2 N 0.000 0.500 0.247 1
# SG ... No. 30
# Energy ... -109.540 eV/cell

Quick rundown of E_form (uncorrected), same order as above: -0.62 -0.72 -0.47 1.23 1.36 -0.83 -0.73 -1.14 -0.81 -1.34 -0.50 eV/atom